1.
## AlCu3 (PBE-GGA)

Data for a relaxed AlCu3 crystal.

Results
Magnetization: 0.00 μB per atom
Space-group type: Pmmm (47)
Crystal system: orthorhombic
Formation energy: -13.2 kJ per mole of atoms

a b c (Å): 2.6316 3.6882 5.1961
angles (deg): 90.00 90.00 90.00
Atoms (fractional coordinates):
Al  0.0000  0.0000  0.0000
Cu  0.0000  0.0000  0.5000
Cu  0.5000  0.5000  0.2518
Cu  0.5000  0.5000  0.7482


2.
## Na3SnRh3S8 (PBE-GGA)

Data for a relaxed Na3SnRh3S8 crystal.

Results
Magnetization: 0.00 μB per atom
Space-group type: R-3m (166)
Crystal system: trigonal
Formation energy (no corrections): -0.7010 eV/atom

a b c (Å): 7.7012 7.7012 7.7012
angles (deg): 56.37 56.37 56.37
Atoms (fractional coordinates):
Na  0.0000  0.5000  0.5000
Na  0.5000  0.0000  0.5000
Na  0.5000  0.5000  0.0000
Sn  0.5000  0.5000  0.5000
Rh  0.0000  0.0000  0.5000
Rh  0.0000  0.5000  0.0000
Rh  0.5000  0.0000  0.0000
S  0.2130  0.7437  0.7437
S  0.2283  0.2283  0.2283
S  0.2563  0.2563  0.7870
S  0.2563  0.7870  0.2563
S  0.7437  0.2130  0.7437
S  0.7437  0.7437  0.2130
S  0.7717  0.7717  0.7717
S  0.7870  0.2563  0.2563


3.
## HoNb4N6 (PBE-GGA)

Data for a relaxed HoNb4N6 crystal.

Results
Magnetization: 0.00 μB per atom
Space-group type: Cmcm (63)
Crystal system: orthorhombic
Formation energy (no corrections): -1.1202 eV/atom

a b c (Å): 5.3900 5.3900 15.7438
angles (deg): 90.00 90.00 146.16
Atoms (fractional coordinates):
Ho  0.1545  0.8455  0.7500
Ho  0.8455  0.1545  0.2500
Nb  0.1007  0.8993  0.1314
Nb  0.1007  0.8993  0.3686
Nb  0.3539  0.6461  0.0421
Nb  0.3539  0.6461  0.4579
Nb  0.6461  0.3539  0.5421
Nb  0.6461  0.3539  0.9579
Nb  0.8993  0.1007  0.6314
Nb  0.8993  0.1007  0.8686
N  0.0000  0.0000  0.0000
N  0.0000  0.0000  0.5000
N  0.1740  0.8260  0.2500
N  0.2647  0.7353  0.5935
N  0.2647  0.7353  0.9065
N  0.4620  0.5380  0.1600
N  0.4620  0.5380  0.3400
N  0.5380  0.4620  0.6600
N  0.5380  0.4620  0.8400
N  0.7353  0.2647  0.0935
N  0.7353  0.2647  0.4065
N  0.8260  0.1740  0.7500


4.
## LiCd2Ni (PBE-GGA)

Data for a relaxed LiCd2Ni crystal.

Results
Magnetization: 0.00 μB per atom
Space-group type: P4mm (99)
Crystal system: tetragonal
Energy above the most stable polymorph in this dataset: 123 meV per atom
Formation energy: -1.5 kJ per mole of atoms

a b c (Å): 3.1614 3.1614 6.6396
angles (deg): 90.00 90.00 90.00
Atoms (fractional coordinates):
Li  0.0000  0.0000  0.0000
Cd  0.0000  0.0000  0.4182
Cd  0.5000  0.5000  0.7519
Ni  0.5000  0.5000  0.1855


5.
## ZrTi2Mo2 (PBE-GGA)

Data for a relaxed ZrTi2Mo2 crystal.

Results
Magnetization: 0.00 μB per atom
Space-group type: P4/mbm (127)
Crystal system: tetragonal
Energy above the most stable polymorph in this dataset: 73 meV per atom
Formation energy: 21.1 kJ per mole of atoms

a b c (Å): 7.5269 7.5269 3.1638
angles (deg): 90.00 90.00 90.00
Atoms (fractional coordinates):
Zr  0.0000  0.0000  0.0000
Zr  0.5000  0.5000  0.0000
Ti  0.1331  0.3669  0.0000
Ti  0.3669  0.8669  0.0000
Ti  0.6331  0.1331  0.0000
Ti  0.8669  0.6331  0.0000
Mo  0.1495  0.6495  0.5000
Mo  0.3505  0.1495  0.5000
Mo  0.6495  0.8505  0.5000
Mo  0.8505  0.3505  0.5000


6.
## Na2PmSm3Se6 (PBE-GGA)

Data for a relaxed Na2PmSm3Se6 crystal.

Results
Magnetization: 0.00 μB per atom
Space-group type: C2/m (12)
Crystal system: monoclinic
Formation energy (no corrections): -1.7382 eV/atom

a b c (Å): 7.2502 7.2502 7.3092
angles (deg): 99.50 99.50 119.96
Atoms (fractional coordinates):
Na  0.1660  0.8340  0.0000
Na  0.8340  0.1660  0.0000
Pm  0.5000  0.5000  0.0000
Sm  0.0000  0.0000  0.5000
Sm  0.3314  0.6686  0.5000
Sm  0.6686  0.3314  0.5000
Se  0.0842  0.4161  0.7483
Se  0.2537  0.2537  0.2551
Se  0.4161  0.0842  0.7483
Se  0.5839  0.9158  0.2517
Se  0.7463  0.7463  0.7449
Se  0.9158  0.5839  0.2517


Copy entry 6 word for word.
## Na2PmSm3Se6 (PBE-GGA)

Data for a relaxed Na2PmSm3Se6 crystal.

Results
Magnetization: 0.00 μB per atom
Space-group type: C2/m (12)
Crystal system: monoclinic
Formation energy (no corrections): -1.7382 eV/atom

a b c (Å): 7.2502 7.2502 7.3092
angles (deg): 99.50 99.50 119.96
Atoms (fractional coordinates):
Na  0.1660  0.8340  0.0000
Na  0.8340  0.1660  0.0000
Pm  0.5000  0.5000  0.0000
Sm  0.0000  0.0000  0.5000
Sm  0.3314  0.6686  0.5000
Sm  0.6686  0.3314  0.5000
Se  0.0842  0.4161  0.7483
Se  0.2537  0.2537  0.2551
Se  0.4161  0.0842  0.7483
Se  0.5839  0.9158  0.2517
Se  0.7463  0.7463  0.7449
Se  0.9158  0.5839  0.2517